# AcZn8Ag4 (PBE, relaxed)
data_AcZn8Ag4
_space_group_name_H-M_alt 'I 4/m m m'
_space_group_IT_number 139
_space_group_name_Hall '-I 4 2'
_cell_length_a 9.4185
_cell_length_b 9.4185
_cell_length_c 5.3765
_cell_angle_alpha 90.00
_cell_angle_beta 90.00
_cell_angle_gamma 90.00
loop_
_atom_site_label
_atom_site_type_symbol
_atom_site_fract_x
_atom_site_fract_y
_atom_site_fract_z
Ac1 Ac 0.0000 0.0000 0.0000
Zn1 Zn 0.0000 0.2283 0.5000
Zn2 Zn 0.0000 0.3592 0.0000
Ag1 Ag 0.2500 0.2500 0.2500
# Formation enthalpy at 0 K: -2.21 kcal/mol of atoms

---

# Ac3Zn2Ag (PBE, relaxed)
data_Ac3Zn2Ag
_space_group_name_H-M_alt 'P 4/m m m'
_space_group_IT_number 123
_space_group_name_Hall '-P 4 2'
_cell_length_a 3.9377
_cell_length_b 3.9377
_cell_length_c 11.7504
_cell_angle_alpha 90.00
_cell_angle_beta 90.00
_cell_angle_gamma 90.00
loop_
_atom_site_label
_atom_site_type_symbol
_atom_site_fract_x
_atom_site_fract_y
_atom_site_fract_z
Ac1 Ac 0.0000 0.0000 0.0000
Ac2 Ac 0.0000 0.0000 0.3290
Zn1 Zn 0.5000 0.5000 0.1622
Ag1 Ag 0.5000 0.5000 0.5000
# Formation enthalpy at 0 K: -5.86 kcal/mol of atoms

---

# AcZnAg4 (PBE, relaxed)
data_AcZnAg4
_space_group_name_H-M_alt 'P 4/m m m'
_space_group_IT_number 123
_space_group_name_Hall '-P 4 2'
_cell_length_a 4.7635
_cell_length_b 4.7635
_cell_length_c 7.4480
_cell_angle_alpha 90.00
_cell_angle_beta 90.00
_cell_angle_gamma 90.00
loop_
_atom_site_label
_atom_site_type_symbol
_atom_site_fract_x
_atom_site_fract_y
_atom_site_fract_z
Ac1 Ac 0.0000 0.0000 0.0000
Zn1 Zn 0.5000 0.5000 0.5000
Ag1 Ag 0.0000 0.5000 0.5000
Ag2 Ag 0.5000 0.5000 0.1743
# Formation enthalpy at 0 K: 6.31 kcal/mol of atoms